TcW3F PBE+U optimized geometry; M_tot = 7.841 μB/f.u.; energy = -4.78 eV per atom; SG = Pm-3m; V = 134 Å³/f.u.; distance to the lowest polymorph of the same formula = 661 meV per atom
1.0
5.1232 0.0000 0.0000
0.0000 5.1232 0.0000
0.0000 0.0000 5.1232
W F Tc
3 1 1
Cartesian
2.5616 0.0000 0.0000
0.0000 0.0000 2.5616
0.0000 2.5616 0.0000
2.5616 2.5616 2.5616
0.0000 0.0000 0.0000